## CrBi2TeO8 (GGA+U)

Data for an optimized crystal structure of CrBi2TeO8.

Cell: 5.0515 5.0472 6.5901 Å, 90.00 90.00 91.15°
Closest atoms and distances in Å follow each position.
Fractional coordinates of all 12 atoms:
Cr  0.0000  0.0000  0.5000  6 O 2.02-2.14
O  0.2864  0.2849  0.5000  1 Cr 2.02, 2 Bi 2.21
O  0.8272  0.1749  0.2374  1 Te 2.00, 1 Cr 2.14
O  0.1728  0.8251  0.2374  1 Te 2.00, 1 Cr 2.14
O  0.1728  0.8251  0.7626  1 Te 2.00, 1 Cr 2.14
O  0.2750  0.2724  0.0000  1 Te 1.93
O  0.7250  0.7276  0.0000  1 Te 1.93
O  0.8272  0.1749  0.7626  1 Te 2.00, 1 Cr 2.14
O  0.7136  0.7151  0.5000  1 Cr 2.02, 2 Bi 2.21
Bi  0.5000  0.5000  0.7449  6 O 2.21-2.36
Bi  0.5000  0.5000  0.2551  6 O 2.21-2.36
Te  0.0000  0.0000  0.0000  6 O 1.93-2.00

Output
M_tot: 2.87 μB/cell
Volume: 14.00 Å³ per atom
Total energy: -72.1 eV for the cell shown